Record 1
! BaSiAg2 GGA-PBE optimized geometry; values from VASP
! raw formation energy: 32.0 kJ/mol of atoms
! VASP energy: -2.93 eV per atom
! SG: No. 12
&SYSTEM
  ibrav = 0, nat = 4, ntyp = 3
/
ATOMIC_SPECIES
Ag 107.87 Ag.upf
Si 28.09 Si.upf
Ba 137.33 Ba.upf
ATOMIC_POSITIONS crystal
Ag 0.000 0.000 0.000
Si 0.000 0.500 0.500
Ba 0.500 0.000 0.500
Ag 0.500 0.500 0.000
CELL_PARAMETERS angstrom
6.270 0.001 -0.013
-2.946 5.535 -0.013
0.800 1.332 2.898

Record 2
! BaSiAg2 GGA-PBE optimized geometry; values from VASP
! raw formation energy: 7.5 kJ/mol of atoms
! VASP energy: -3.18 eV per atom
! SG: No. 99
&SYSTEM
  ibrav = 0, nat = 4, ntyp = 3
/
ATOMIC_SPECIES
Ag 107.87 Ag.upf
Si 28.09 Si.upf
Ba 137.33 Ba.upf
ATOMIC_POSITIONS crystal
Ag 0.000 0.000 0.978
Si 0.500 0.500 0.829
Ag 0.500 0.500 0.183
Ba 0.000 0.000 0.511
CELL_PARAMETERS angstrom
3.580 -0.054 0.000
0.054 3.580 0.000
0.000 0.000 7.552

Record 3
! BaSi2Ag3 GGA-PBE optimized geometry; values from VASP
! raw formation energy: -14.2 kJ/mol of atoms
! VASP energy: -3.70 eV per atom
! SG: No. 12
&SYSTEM
  ibrav = 0, nat = 12, ntyp = 3
/
ATOMIC_SPECIES
Ag 107.87 Ag.upf
Si 28.09 Si.upf
Ba 137.33 Ba.upf
ATOMIC_POSITIONS crystal
Ag 0.681 0.563 0.075
Ag 0.405 0.684 0.506
Si 0.820 0.651 0.710
Ag 0.035 0.646 0.283
Ba 0.157 0.925 0.760
Ba 0.843 0.075 0.240
Si 0.516 0.841 0.126
Si 0.484 0.159 0.874
Ag 0.595 0.316 0.494
Ag 0.319 0.437 0.925
Ag 0.965 0.354 0.717
Si 0.180 0.349 0.290
CELL_PARAMETERS angstrom
-4.311 -0.670 -0.622
-2.081 -6.620 5.939
-3.511 0.925 7.722

Record 4
! BaSiAg GGA-PBE optimized geometry; values from VASP
! raw formation energy: -30.8 kJ/mol of atoms
! VASP energy: -3.72 eV per atom
! SG: No. 71
&SYSTEM
  ibrav = 0, nat = 6, ntyp = 3
/
ATOMIC_SPECIES
Si 28.09 Si.upf
Ba 137.33 Ba.upf
Ag 107.87 Ag.upf
ATOMIC_POSITIONS crystal
Si 0.000 0.151 0.849
Ba 0.764 0.736 0.736
Ag 0.500 0.696 0.304
Ag 0.500 0.304 0.696
Ba 0.236 0.264 0.264
Si 0.000 0.849 0.151
CELL_PARAMETERS angstrom
-2.898 -3.079 1.735
0.833 -0.488 6.547
-5.049 3.050 2.999